Here is a relaxed structure of Ge4PbSe5 from the Alexandria database. Energies are from PBE.

Computed properties:
E_form (uncorrected): -0.266 eV per atom
raw total energy: -42.3 eV/f.u.
Fermi-level density of states: 0.094 states/eV/f.u.
mass density: 6.13 Mg/m³
V: 241.8 Å³/f.u.

a b c (Å): 4.078 7.088 9.154
angles (deg): 75.25 77.13 73.28
Element x y z (fractional)
Ge 0.602 0.201 0.595
Se 0.611 0.670 0.108
Ge 0.802 0.602 0.793
Ge 0.398 0.799 0.405
Se 0.389 0.330 0.892
Se 0.205 0.905 0.685
Se 0.000 0.500 0.500
Se 0.795 0.095 0.315
Pb 0.000 0.000 0.000
Ge 0.198 0.398 0.207